(1)
Material: BaLa2CdRe
Method: DFT, PBE
State: optimized geometry

## Properties
Magnetic moment, μB/f.u.: 1.7
DOS(E_F), states/eV/f.u.: 8.4

Cell lengths 5.9027, 5.9027, 6.1713 Å; angles 90.00, 90.00, 90.00 degrees
Last column: nearest neighbours and their distance in Å.
Space group P4/mmm (No. 123)
Inequivalent atoms, fractional coordinates:
Ba1 0.0000 0.0000 0.0000 x1  2 Cd 3.09
La1 0.0000 0.5000 0.5000 x2  2 Cd 2.95
Cd1 0.0000 0.0000 0.5000 x1  4 La 2.95, 2 Ba 3.09
Re1 0.5000 0.5000 0.0000 x1  4 Ba 4.17, 8 La 4.27

---

(2)
Material: Ac2Cu2Pd5Au
Method: DFT, PBE
State: optimized geometry

## Properties
Magnetic moment, μB/f.u.: 0.0
DOS(E_F), states/eV/f.u.: 3.4

Cell lengths 9.7065, 9.7065, 4.0624 Å; angles 90.00, 90.00, 90.00 degrees
Last column: nearest neighbours and their distance in Å.
Space group P4/mbm (No. 127)
Inequivalent atoms, fractional coordinates:
Ac1 0.1826 0.3174 0.0000 x4  3 Cu 2.78-2.96
Cu1 0.1146 0.6146 0.0000 x4  6 Pd 2.57-2.70, 1 Ac 2.78
Pd1 0.0000 0.5000 0.5000 x2  4 Cu 2.57
Pd2 0.0620 0.7908 0.5000 x8  2 Cu 2.70, 3 Pd 2.89-3.00, 2 Au 2.93
Au1 0.0000 0.0000 0.0000 x2  8 Pd 2.93

---

Formation energy list, top to bottom, in eV/atom: 1.40, -0.58